Entry 1:
The following is a GGA-PBEsol calculation of a geometry-optimized TiSiPd structure, from the Alexandria database.

Cell: 6.2787 3.7483 7.3497 Å, 90.00 90.00 90.00°
Closest atoms and distances in Å follow each position.
Fractional coordinates of all 12 atoms:
Ti: 0.0300 0.2500 0.1770  5 Si 2.62-2.73, 5 Pd 2.90-2.92
Ti: 0.4700 0.7500 0.6770  5 Si 2.62-2.73, 5 Pd 2.90-2.92
Ti: 0.5300 0.2500 0.3230  5 Si 2.62-2.73, 5 Pd 2.90-2.92
Ti: 0.9700 0.7500 0.8230  5 Si 2.62-2.73, 5 Pd 2.90-2.92
Si: 0.2456 0.7500 0.3740  4 Pd 2.40-2.50, 3 Ti 2.62-2.64
Si: 0.2544 0.2500 0.8740  4 Pd 2.40-2.50, 3 Ti 2.62-2.64
Si: 0.7456 0.7500 0.1260  4 Pd 2.40-2.50, 3 Ti 2.62-2.64
Si: 0.7544 0.2500 0.6260  4 Pd 2.40-2.50, 3 Ti 2.62-2.64
Pd: 0.1455 0.2500 0.5616  4 Si 2.40-2.50
Pd: 0.3545 0.7500 0.0616  4 Si 2.40-2.50
Pd: 0.6455 0.2500 0.9384  4 Si 2.40-2.50
Pd: 0.8545 0.7500 0.4384  4 Si 2.40-2.50

Summary:
The total energy is -91.17 eV per cell. The uncorrected formation energy is -922 meV per atom. The calculation puts the density of states at the Fermi level at 0.61 states/eV/f.u. Its space group is Pnma.


Entry 2:
The following is a GGA-PBEsol calculation of a geometry-optimized Ru3Se structure, from the Alexandria database.

Cell: 5.2279 5.2279 5.2279 Å, 148.52 60.03 130.29°
Closest atoms and distances in Å follow each position.
Fractional coordinates of all 4 atoms:
Ru: 0.0000 0.0000 0.0000  2 Se 2.41
Ru: 0.0412 0.7619 0.2793  1 Se 2.38
Ru: 0.4825 0.7619 0.7207  1 Se 2.38
Se: 0.5573 0.0573 0.5000  4 Ru 2.38-2.41

Summary:
The total energy is -33.55 eV per cell. The uncorrected formation energy is 205 meV per atom. The calculation puts the density of states at the Fermi level at 3.16 states/eV/f.u. Its space group is Imm2.


Entry 3:
The following is a GGA-PBEsol calculation of a geometry-optimized HfGaTc structure, from the Alexandria database.

Cell: 6.7538 6.7538 4.5362 Å, 95.68 95.68 28.35°
Closest atoms and distances in Å follow each position.
Fractional coordinates of all 6 atoms:
Hf: 0.0844 0.0844 0.2754  6 Tc 2.79-2.83, 3 Ga 2.84-2.89
Hf: 0.9156 0.9156 0.7246  6 Tc 2.79-2.83, 3 Ga 2.84-2.89
Ga: 0.2418 0.2418 0.7723  3 Tc 2.59-2.84, 2 Ga 2.64, 3 Hf 2.84-2.89
Ga: 0.7582 0.7582 0.2277  3 Tc 2.59-2.84, 2 Ga 2.64, 3 Hf 2.84-2.89
Tc: 0.4102 0.4102 0.2177  3 Ga 2.59-2.84, 6 Hf 2.79-2.83
Tc: 0.5898 0.5898 0.7823  3 Ga 2.59-2.84, 6 Hf 2.79-2.83

Summary:
The total energy is -53.01 eV per cell. As for the energy relative to the elements: -1.39 eV/f.u. The calculation puts the density of states at the Fermi level at 0.53 states/eV/f.u. Its space group is C2/m.


Entry 4:
The following is a GGA-PBEsol calculation of a geometry-optimized Li3Mg structure, from the Alexandria database.

Cell: 5.4249 5.4249 5.4249 Å, 90.00 90.00 90.00°
Closest atoms and distances in Å follow each position.
Fractional coordinates of all 8 atoms:
Li: 0.0000 0.2500 0.5000  2 Li 2.71, 4 Mg 3.03
Li: 0.0000 0.7500 0.5000  2 Li 2.71, 4 Mg 3.03
Li: 0.2500 0.5000 0.0000  2 Li 2.71, 4 Mg 3.03
Li: 0.5000 0.0000 0.2500  2 Li 2.71, 4 Mg 3.03
Li: 0.5000 0.0000 0.7500  2 Li 2.71, 4 Mg 3.03
Li: 0.7500 0.5000 0.0000  2 Li 2.71, 4 Mg 3.03
Mg: 0.0000 0.0000 0.0000  12 Li 3.03
Mg: 0.5000 0.5000 0.5000  12 Li 3.03

Summary:
The total energy is -15.24 eV per cell. As for the energy relative to the elements: -0.01 eV/f.u. The calculation puts the density of states at the Fermi level at 1.94 states/eV/f.u. Its space group is Pm-3n.


Entry 5:
The following is a GGA-PBEsol calculation of a geometry-optimized Ir2PtPb structure, from the Alexandria database.

Cell: 4.7136 4.7136 5.0545 Å, 99.90 99.90 36.96°
Closest atoms and distances in Å follow each position.
Fractional coordinates of all 4 atoms:
Ir: 0.2465 0.2465 0.2197  4 Ir 2.69-2.99, 3 Pt 2.70-2.73, 3 Pb 2.83-2.87
Ir: 0.7535 0.7535 0.7803  4 Ir 2.69-2.99, 3 Pt 2.70-2.73, 3 Pb 2.83-2.87
Pt: 0.5000 0.5000 0.0000  6 Ir 2.70-2.73, 4 Pb 2.94, 2 Pt 2.99
Pb: 0.0000 0.0000 0.5000  6 Ir 2.83-2.87, 4 Pt 2.94, 2 Pb 2.99

Summary:
The total energy is -29.09 eV per cell. As for the energy relative to the elements: 1.52 eV/f.u. The calculation puts the density of states at the Fermi level at 3.13 states/eV/f.u. Its space group is C2/m.


Entry 6:
The following is a GGA-PBEsol calculation of a geometry-optimized LiCa2Y structure, from the Alexandria database.

Cell: 11.7994 11.7994 11.7994 Å, 17.73 17.73 17.73°
Closest atoms and distances in Å follow each position.
Fractional coordinates of all 4 atoms:
Li: 0.0000 0.0000 0.0000  3 Y 3.35, 3 Ca 3.49, 6 Li 3.64
Ca: 0.5050 0.5050 0.5050  9 Ca 3.64-3.82, 3 Y 3.68
Ca: 0.7466 0.7466 0.7466  3 Li 3.49, 9 Ca 3.64-3.82
Y: 0.2583 0.2583 0.2583  3 Li 3.35, 6 Y 3.64, 3 Ca 3.68

Summary:
The total energy is -12.50 eV per cell. As for the energy relative to the elements: 0.56 eV/f.u. The value obtained for the distance to the lowest polymorph of the same formula is 0.040 eV per atom. The calculation puts the density of states at the Fermi level at 4.84 states/eV/f.u. Its space group is R3m.


Entry 7:
The following is a GGA-PBEsol calculation of a geometry-optimized As3Rh structure, from the Alexandria database.

Cell: 2.9417 2.9417 7.9426 Å, 90.00 90.00 90.00°
Closest atoms and distances in Å follow each position.
Fractional coordinates of all 4 atoms:
As: 0.0000 0.0000 0.0000  12 As 2.94-3.16
As: 0.5000 0.5000 0.2994  4 Rh 2.62
As: 0.5000 0.5000 0.7006  4 Rh 2.62
Rh: 0.0000 0.0000 0.5000  8 As 2.62

Summary:
The total energy is -23.42 eV per cell. As for the energy relative to the elements: 0.04 eV/f.u. The value obtained for the distance to the lowest polymorph of the same formula is 0.468 eV per atom. The calculation puts the density of states at the Fermi level at 2.09 states/eV/f.u. Its space group is P4/mmm.


Entry 8:
The following is a GGA-PBEsol calculation of a geometry-optimized Cr2ReHgF structure, from the Alexandria database.

Cell: 3.9109 3.9109 4.7476 Å, 90.00 90.00 90.00°
Closest atoms and distances in Å follow each position.
Fractional coordinates of all 5 atoms:
Cr: 0.0000 0.5000 0.0000  2 F 1.96
Cr: 0.5000 0.0000 0.0000  2 F 1.96
Re: 0.0000 0.0000 0.5000  4 Hg 2.77, 8 Cr 3.08
Hg: 0.5000 0.5000 0.5000  2 F 2.37
F: 0.5000 0.5000 0.0000  4 Cr 1.96

Summary:
The total energy is -33.02 eV per cell. The uncorrected formation energy is 658 meV per atom. The calculation puts the density of states at the Fermi level at 5.39 states/eV/f.u. Its space group is P4/mmm.


Entry 9:
The following is a GGA-PBEsol calculation of a geometry-optimized SbOsBr2 structure, from the Alexandria database.

Cell: 9.3706 9.3706 9.3706 Å, 22.11 22.11 22.11°
Closest atoms and distances in Å follow each position.
Fractional coordinates of all 4 atoms:
Sb: 0.0000 0.0000 0.0000  6 Sb 3.59, 6 Br 3.82
Os: 0.5000 0.5000 0.5000  6 Br 2.48
Br: 0.2165 0.2165 0.2165  3 Os 2.48
Br: 0.7835 0.7835 0.7835  3 Os 2.48

Summary:
The total energy is -17.97 eV per cell. The value obtained for the distance to the lowest polymorph of the same formula is 0.160 eV per atom. The uncorrected formation energy is 636 meV per atom. The calculation puts the density of states at the Fermi level at 3.50 states/eV/f.u. Its space group is R-3m.


Entry 10:
The following is a GGA-PBEsol calculation of a geometry-optimized AlCdNi2 structure, from the Alexandria database.

Cell: 2.9796 2.9796 6.1428 Å, 90.00 90.00 90.00°
Closest atoms and distances in Å follow each position.
Fractional coordinates of all 4 atoms:
Al: 0.0000 0.0000 0.0000  5 Ni 2.40-2.48
Cd: 0.5000 0.5000 0.3387  5 Ni 2.64-2.92
Ni: 0.0000 0.0000 0.5967  1 Al 2.48, 4 Ni 2.50, 4 Cd 2.64
Ni: 0.5000 0.5000 0.8145  4 Al 2.40, 4 Ni 2.50

Summary:
The total energy is -18.07 eV per cell. As for the energy relative to the elements: -0.47 eV/f.u. The calculation puts the density of states at the Fermi level at 2.33 states/eV/f.u. Its space group is P4mm.


Entry 11:
The following is a GGA-PBEsol calculation of a geometry-optimized RbZn3B structure, from the Alexandria database.

Cell: 6.2474 6.2474 6.2474 Å, 90.00 90.00 90.00°
Closest atoms and distances in Å follow each position.
Fractional coordinates of all 5 atoms:
Rb: 0.0000 0.0000 0.0000  6 Zn 3.12
Zn: 0.0000 0.0000 0.5000  2 Rb 3.12
Zn: 0.0000 0.5000 0.0000  2 Rb 3.12
Zn: 0.5000 0.0000 0.0000  2 Rb 3.12
B: 0.5000 0.5000 0.5000  12 Zn 4.42

Summary:
The total energy is -2.40 eV per cell. As for the energy relative to the elements: 10.39 eV/f.u. The calculation puts the density of states at the Fermi level at 6.14 states/eV/f.u. Its space group is Pm-3m.


Entry 12:
The following is a GGA-PBEsol calculation of a geometry-optimized HgPtS2 structure, from the Alexandria database.

Cell: 9.1281 9.1281 9.1281 Å, 22.16 22.16 22.16°
Closest atoms and distances in Å follow each position.
Fractional coordinates of all 4 atoms:
Hg: 0.0000 0.0000 0.0000  2 S 3.22, 6 Hg 3.51
Pt: 0.5000 0.5000 0.5000  6 S 2.37
S: 0.1205 0.1205 0.1205  3 Pt 2.37
S: 0.8795 0.8795 0.8795  3 Pt 2.37

Summary:
The total energy is -17.30 eV per cell. The uncorrected formation energy is -249 meV per atom. Its space group is R-3m.


Number 8 is which compound? Cr2ReHgF


What is the formula in the eighth record? Cr2ReHgF